Entry 1:
{"formula": "CuSbI2Cl", "functional": "PBE-GGA", "state": "optimized geometry", "de_polymorph_mev_per_atom": 0, "sg": "P4/mmm, No. 123", "cell": [[-1.976, -4.461, 1.912], [4.752, -1.357, 1.745], [-0.988, 2.386, 4.545]], "species": ["Sb", "Cu", "I", "I", "Cl"], "frac_coords": [[0.000, 0.000, 0.500], [0.000, 0.000, 0.000], [0.000, 0.500, 0.000], [0.500, 0.000, 0.000], [0.500, 0.500, 0.500]]}


Entry 2:
{"formula": "GaAsPO2", "functional": "PBE-GGA", "state": "optimized geometry", "de_polymorph_mev_per_atom": 0, "sg": "P4/mmm, No. 123", "cell": [[-3.159, -0.360, 1.949], [-0.421, -3.462, -1.321], [2.585, -1.787, 3.860]], "species": ["O", "O", "P", "As", "Ga"], "frac_coords": [[0.500, 0.000, 0.000], [0.000, 0.500, 0.000], [0.000, 0.000, 0.500], [0.000, 0.000, 0.000], [0.500, 0.500, 0.500]]}


Entry 3:
{"formula": "KPW2", "functional": "PBE-GGA", "state": "optimized geometry", "de_polymorph_mev_per_atom": 428, "sg": "Cmmm, No. 65", "e_form_kj_per_mol_fu": 329.0, "cell": [[-0.627, -1.852, -2.088], [2.649, 1.034, -0.309], [3.500, -7.335, 5.456]], "species": ["P", "W", "W", "K"], "frac_coords": [[0.500, 0.500, 0.750], [0.000, 0.000, 0.935], [0.000, 0.000, 0.565], [0.500, 0.500, 0.250]]}


Entry 4:
{"formula": "TlFeRu2", "functional": "PBE-GGA", "state": "optimized geometry", "de_polymorph_mev_per_atom": 224, "sg": "F-43m, No. 216", "e_form_kj_per_mol_fu": 242.3, "cell": [[-0.444, -3.107, 3.182], [3.496, -2.534, 1.153], [1.963, 0.575, 3.974]], "species": ["Fe", "Ru", "Ru", "Tl"], "frac_coords": [[0.500, 0.500, 0.500], [0.250, 0.250, 0.250], [0.000, 0.000, 0.000], [0.750, 0.750, 0.750]]}


Entry 5:
{"formula": "MgAlCdSb", "functional": "PBE-GGA", "state": "optimized geometry", "sg": "F-43m, No. 216", "energy_ev_per_atom": -2.51, "cell": [[-2.293, -3.034, 3.391], [2.540, -1.594, 4.120], [-1.230, 1.799, 4.606]], "species": ["Mg", "Al", "Sb", "Cd"], "frac_coords": [[0.000, 0.000, 0.000], [0.500, 0.500, 0.500], [0.250, 0.250, 0.250], [0.750, 0.750, 0.750]]}


Entry 6:
{"formula": "B2RuPbO6", "functional": "PBE-GGA", "state": "optimized geometry", "sg": "R-3, No. 148", "energy_ev_per_atom": -7.29, "cell": [[-1.175, -2.784, 3.950], [2.911, -3.814, 1.309], [3.557, 1.200, 5.034]], "species": ["O", "O", "O", "O", "O", "O", "Ru", "B", "B", "Pb"], "frac_coords": [[0.065, 0.516, 0.708], [0.710, 0.065, 0.708], [0.935, 0.484, 0.292], [0.516, 0.710, 0.708], [0.484, 0.290, 0.292], [0.290, 0.935, 0.292], [0.500, 0.500, 0.500], [0.768, 0.768, 0.697], [0.232, 0.232, 0.303], [0.000, 0.000, 0.000]]}


Entry 7:
{"formula": "KNaLa2Sn", "functional": "PBE-GGA", "state": "optimized geometry", "sg": "P4/mmm, No. 123", "e_form_kj_per_mol_fu": 211.2, "cell": [[-1.610, -0.724, -5.699], [-2.543, -4.645, 1.309], [-5.027, 3.043, 1.034]], "species": ["La", "La", "K", "Sn", "Na"], "frac_coords": [[0.000, 0.000, 0.500], [0.500, 0.000, 0.000], [0.500, 0.500, 0.500], [0.000, 0.500, 0.000], [0.000, 0.000, 0.000]]}


Entry 8:
{"formula": "ReWAu2", "functional": "PBE-GGA", "state": "optimized geometry", "de_polymorph_mev_per_atom": 1693, "sg": "I-42d, No. 122", "e_form_kj_per_mol_fu": 768.5, "cell": [[5.791, 0.000, 0.000], [0.000, 5.791, 0.000], [2.896, 2.896, 5.778]], "species": ["Au", "Au", "Au", "Au", "Re", "Re", "W", "W"], "frac_coords": [[0.121, 0.625, 0.250], [0.375, 0.371, 0.750], [0.629, 0.125, 0.250], [0.875, 0.879, 0.750], [0.000, 0.000, 0.000], [0.750, 0.250, 0.500], [0.250, 0.750, 0.500], [0.500, 0.500, 0.000]]}


Q: Which DOS at the Fermi energy values were calculated for the entries above? A: 4.0; 1.4; 2.8; 5.6; 1.2; 5.4; 6.1; 3.3, in states/eV/cell.